Entry from Alexandria: an optimized crystal structure of SrRhSe3 (PBE).

## Properties
As for the raw formation energy: 833 meV/atom. The density of states at the Fermi level comes out at 1.879 states/eV per atom. As for the density: 3.755 g/cm³. The calculated total energy is -15.32 eV per cell.

Lattice parameters (Å, degrees): 5.739 5.739 5.739 90.00 90.00 90.00
Space group Pm-3m (No. 221)
Inequivalent atoms, fractional coordinates:
Sr 0.000 0.000 0.000 [1 per cell]
Rh 0.500 0.500 0.500 [1 per cell]
Se 0.000 0.000 0.500 [3 per cell]



Entry from Alexandria: an optimized crystal structure of SrRhSe2 (PBE).

## Properties
As for the raw formation energy: -890 meV/atom. For the energy above the most stable polymorph in this dataset, the calculation gives 41 meV per atom. The density of states at the Fermi level comes out at 0.264 states/eV per atom. As for the density: 5.998 g/cm³. The calculated total energy is -39.12 eV per cell.

Lattice parameters (Å, degrees): 6.285 7.893 3.889 90.00 90.00 90.00
Space group Cmmm (No. 65)
Inequivalent atoms, fractional coordinates:
Sr 0.000 0.000 0.000 [2 per cell]
Rh 0.000 0.500 0.000 [2 per cell]
Se 0.000 0.306 0.500 [4 per cell]



Entry from Alexandria: an optimized crystal structure of SrRhSe2 (PBE).

## Properties
As for the raw formation energy: -496 meV/atom. For the energy above the most stable polymorph in this dataset, the calculation gives 434 meV per atom. The density of states at the Fermi level comes out at 0.386 states/eV per atom. As for the density: 5.205 g/cm³. The calculated total energy is -53.96 eV per cell.

Lattice parameters (Å, degrees): 3.9124 3.9124 25.1598 90.00 90.00 120.00
Space group R-3m (No. 166, hexagonal axes)
Inequivalent atoms, fractional coordinates:
Sr 0.0000 0.0000 0.0000 [3 per cell]
Rh 0.0000 0.0000 0.5000 [3 per cell]
Se 0.0000 0.0000 0.1195 [6 per cell]



Entry from Alexandria: an optimized crystal structure of SrRh2Se (PBE).

## Properties
As for the raw formation energy: -57 meV/atom. The density of states at the Fermi level comes out at 0.770 states/eV per atom. As for the density: 8.037 g/cm³. The calculated total energy is -20.10 eV per cell.

Lattice parameters (Å, degrees): 3.261 3.261 7.235 90.00 90.00 90.00
Space group P4/mmm (No. 123)
Inequivalent atoms, fractional coordinates:
Sr 0.000 0.000 0.000 [1 per cell]
Rh 0.500 0.500 0.303 [2 per cell]
Se 0.000 0.000 0.500 [1 per cell]



Entry from Alexandria: an optimized crystal structure of SrRh2Se2 (PBE).

## Properties
As for the raw formation energy: -674 meV/atom. For the energy above the most stable polymorph in this dataset, the calculation gives 0 meV per atom. The density of states at the Fermi level comes out at 0.218 states/eV per atom. As for the density: 7.260 g/cm³. The calculated total energy is -53.45 eV per cell.

Lattice parameters (Å, degrees): 4.749 4.749 9.156 90.00 90.00 90.00
Space group I4/mmm (No. 139)
Inequivalent atoms, fractional coordinates:
Sr 0.000 0.000 0.000 [2 per cell]
Rh 0.000 0.000 0.348 [4 per cell]
Se 0.000 0.500 0.250 [4 per cell]



Entry from Alexandria: an optimized crystal structure of SrRhSe (PBE).

## Properties
As for the raw formation energy: -972 meV/atom. For the energy above the most stable polymorph in this dataset, the calculation gives 0 meV per atom. The density of states at the Fermi level comes out at 0.590 states/eV per atom. As for the density: 6.412 g/cm³. The calculated total energy is -15.43 eV per cell.

Lattice parameters (Å, degrees): 4.2750 4.2750 4.4095 90.00 90.00 120.00
Space group P-6m2 (No. 187)
Inequivalent atoms, fractional coordinates:
Sr 0.0000 0.0000 0.0000 [1 per cell]
Rh 0.6667 0.3333 0.5000 [1 per cell]
Se 0.3333 0.6667 0.5000 [1 per cell]



Entry from Alexandria: an optimized crystal structure of SrRhSe (PBE).

## Properties
As for the raw formation energy: -553 meV/atom. For the energy above the most stable polymorph in this dataset, the calculation gives 420 meV per atom. The density of states at the Fermi level comes out at 1.559 states/eV per atom. As for the density: 6.267 g/cm³. The calculated total energy is -56.70 eV per cell.

Lattice parameters (Å, degrees): 6.586 6.586 6.586 90.00 90.00 90.00
Space group F-43m (No. 216)
Inequivalent atoms, fractional coordinates:
Sr 0.000 0.000 0.000 [4 per cell]
Rh 0.250 0.250 0.250 [4 per cell]
Se 0.000 0.000 0.500 [4 per cell]



Entry from Alexandria: an optimized crystal structure of SrRhSe2 (PBE).

## Properties
As for the raw formation energy: -775 meV/atom. For the energy above the most stable polymorph in this dataset, the calculation gives 155 meV per atom. The density of states at the Fermi level comes out at 0.381 states/eV per atom. As for the density: 5.504 g/cm³. The calculated total energy is -38.21 eV per cell.

Lattice parameters (Å, degrees): 11.340 4.082 4.543 90.00 91.19 90.00
Space group Cm (No. 8)
Inequivalent atoms, fractional coordinates:
Sr 0.000 0.000 0.000 [2 per cell]
Rh 0.250 0.500 0.547 [2 per cell]
Se 0.038 0.500 0.500 [2 per cell]
Se 0.268 0.000 0.827 [2 per cell]



Entry from Alexandria: an optimized crystal structure of SrRh2Se (PBE).

## Properties
As for the raw formation energy: -443 meV/atom. The density of states at the Fermi level comes out at 0.047 states/eV per atom. As for the density: 6.276 g/cm³. The calculated total energy is -86.56 eV per cell.

Lattice parameters (Å, degrees): 4.892 4.892 16.466 90.00 90.00 90.00
Space group I-42d (No. 122)
Inequivalent atoms, fractional coordinates:
Sr 0.000 0.000 0.000 [4 per cell]
Rh 0.074 0.250 0.625 [8 per cell]
Se 0.000 0.000 0.500 [4 per cell]



Entry from Alexandria: an optimized crystal structure of SrRhSe (PBE).

## Properties
As for the raw formation energy: 21 meV/atom. For the energy above the most stable polymorph in this dataset, the calculation gives 994 meV per atom. The density of states at the Fermi level comes out at 1.079 states/eV per atom. As for the density: 5.331 g/cm³. The calculated total energy is -49.81 eV per cell.

Lattice parameters (Å, degrees): 6.950 6.950 6.950 90.00 90.00 90.00
Space group F-43m (No. 216)
Inequivalent atoms, fractional coordinates:
Sr 0.000 0.000 0.000 [4 per cell]
Rh 0.250 0.250 0.750 [4 per cell]
Se 0.250 0.250 0.250 [4 per cell]



Entry from Alexandria: an optimized crystal structure of SrRh6Se8 (PBE).

## Properties
As for the raw formation energy: -522 meV/atom. The density of states at the Fermi level comes out at 0.481 states/eV per atom. As for the density: 7.132 g/cm³. The calculated total energy is -244.50 eV per cell.

Lattice parameters (Å, degrees): 9.5094 9.5094 11.9217 90.00 90.00 120.00
Space group R-3 (No. 148, hexagonal axes)
Inequivalent atoms, fractional coordinates:
Sr 0.0000 0.0000 0.0000 [3 per cell]
Rh 0.0207 0.8210 0.3872 [18 per cell]
Se 0.0000 0.0000 0.2498 [6 per cell]
Se 0.0119 0.6235 0.2459 [18 per cell]



Entry from Alexandria: an optimized crystal structure of SrRh2Se (PBE).

## Properties
As for the raw formation energy: -432 meV/atom. The density of states at the Fermi level comes out at 0.972 states/eV per atom. As for the density: 7.134 g/cm³. The calculated total energy is -43.19 eV per cell.

Lattice parameters (Å, degrees): 7.541 4.353 5.844 90.00 115.33 90.00
Space group C2/m (No. 12)
Inequivalent atoms, fractional coordinates:
Sr 0.000 0.000 0.000 [2 per cell]
Rh 0.198 0.000 0.594 [4 per cell]
Se 0.000 0.500 0.500 [2 per cell]